Record 1
PBE TeAsHI2, relaxed; energy above the lowest structure with this stoichiometry = 43 meV per atom; space group = P4/mmm, No. 123; total magnetic moment = 0.0000 μB per atom
1.0
5.678 0.000 0.000
0.000 5.678 0.000
0.000 0.000 3.862
I H As Te
2 1 1 1
Direct
0.000 0.500 0.000
0.500 0.000 0.000
0.000 0.000 0.000
0.500 0.500 0.500
0.000 0.000 0.500



Record 2
PBE TeAsHI2, relaxed; energy above the lowest structure with this stoichiometry = 0 meV per atom; space group = P4/mmm, No. 123; total magnetic moment = 0.1851 μB per atom
1.0
5.820 0.000 0.000
0.000 5.820 0.000
0.000 0.000 5.390
I H As Te
2 1 1 1
Direct
0.000 0.500 0.000
0.500 0.000 0.000
0.500 0.500 0.500
0.000 0.000 0.000
0.000 0.000 0.500



Record 3
PBE InAsH, relaxed; energy above the lowest structure with this stoichiometry = 0 meV per atom; space group = C2/m, No. 12; total magnetic moment = 0.0000 μB per atom
1.0
5.573 0.628 0.668
3.328 4.514 0.668
1.414 0.817 6.023
In As H
2 2 2
Direct
0.678 0.678 0.183
0.322 0.322 0.817
0.969 0.969 0.828
0.031 0.031 0.172
0.700 0.700 0.447
0.300 0.300 0.553



Record 4
PBE InAsH, relaxed; energy above the lowest structure with this stoichiometry = 80 meV per atom; space group = C2/m, No. 12; total magnetic moment = 0.0000 μB per atom
1.0
3.133 0.000 0.000
-1.567 6.599 0.544
0.000 -0.388 5.603
H As In
2 2 2
Direct
0.695 0.390 0.243
0.305 0.610 0.757
0.909 0.818 0.253
0.091 0.182 0.747
0.111 0.223 0.246
0.889 0.777 0.754



Record 5
PBE InAsHIr2, relaxed; final energy = -3.37 eV per atom; space group = P4/mmm, No. 123; total magnetic moment = 0.5867 μB per atom
1.0
-1.757 -4.659 -0.593
3.363 -0.780 -3.835
3.373 -1.692 3.302
H As Ir In
1 1 2 1
Direct
0.500 0.500 0.500
0.000 0.500 0.000
0.000 0.000 0.500
0.500 0.000 0.000
0.000 0.000 0.000



Record 6
PBE In2MoAsH, relaxed; final energy = -4.41 eV per atom; space group = P4/mmm, No. 123; total magnetic moment = 0.1009 μB per atom
1.0
-2.597 1.206 3.946
0.858 -3.128 1.521
3.958 2.048 1.978
H Mo As In
1 1 1 2
Direct
0.000 0.000 0.000
0.000 0.500 0.000
0.500 0.500 0.500
0.000 0.000 0.500
0.500 0.000 0.000



What is the total magnetic moment in the second record?
0.1851 μB per atom



What is the total magnetic moment in the third record?
0.0000 μB per atom